## KNiCl2 (PBE)

Data for crystalline KNiCl2 at its relaxed geometry.

For the density of states at the Fermi level, the calculation gives 4.2612 states/eV/atom. Its excess energy over the best structure of this formula in the dataset is 0.4765 eV per atom. For the magnetization, the calculation gives 0.2500 μB per atom. The value obtained for the raw total energy is -0.2303 Ry per atom.

The space group is Fm-3m (No. 225) and the conventional cell measures 7.017, 7.017 and 7.017 Å, with angles of 90.00, 90.00 and 90.00 degrees. Symmetry generates all atoms from K at (0.000, 0.000, 0.000), Ni at (0.000, 0.000, 0.500) and Cl at (0.250, 0.250, 0.250).